1.
Here is a relaxed structure of Sc2HgPb from Alexandria via LeMat-Bulk. Energies are from PBE-GGA.

abc: 3.4609 3.4609 8.2784
angles: 90.00 90.00 90.00
With the nearest neighbours (Å) after each atom.
Fractional coordinates of all 4 atoms:
Sc  0.0000  0.0000  0.0000  8 Sc 3.22-3.46, 4 Pb 3.29
Sc  0.5000  0.5000  0.2527  4 Hg 3.01, 4 Sc 3.22
Hg  0.0000  0.0000  0.4644  4 Sc 3.01, 4 Pb 3.31
Pb  0.5000  0.5000  0.7344  4 Sc 3.29, 4 Hg 3.31, 4 Pb 3.46

space group: P4mm, No. 99
final energy: -17.344 eV per cell
ΔH_f (0 K): -167.8 meV per atom



2.
Here is a relaxed structure of Sc5Hg6Pb from Alexandria via LeMat-Bulk. Energies are from PBE-GGA.

abc: 8.6042 8.6042 8.6042
angles: 146.72 128.48 62.72
With the nearest neighbours (Å) after each atom.
Fractional coordinates of all 12 atoms:
Sc  0.0000  0.0000  0.0000  8 Hg 2.94-3.12
Sc  0.1759  0.6759  0.5000  8 Hg 2.96-3.04
Sc  0.3540  0.3540  0.0000  8 Hg 3.02-3.23, 2 Pb 3.27
Sc  0.6460  0.6460  0.0000  8 Hg 3.02-3.23, 2 Pb 3.27
Sc  0.8241  0.3241  0.5000  8 Hg 2.96-3.04
Hg  0.0499  0.8224  0.2275  7 Sc 2.96-3.23, 2 Hg 3.27, 1 Pb 3.31
Hg  0.2151  0.5000  0.7151  6 Sc 2.94-3.04, 1 Hg 3.22, 2 Pb 3.26
Hg  0.4051  0.1776  0.2275  7 Sc 2.96-3.23, 2 Hg 3.27, 1 Pb 3.31
Hg  0.5949  0.8224  0.7725  7 Sc 2.96-3.23, 2 Hg 3.27, 1 Pb 3.31
Hg  0.7849  0.5000  0.2849  6 Sc 2.94-3.04, 1 Hg 3.22, 2 Pb 3.26
Hg  0.9501  0.1776  0.7725  7 Sc 2.96-3.23, 2 Hg 3.27, 1 Pb 3.31
Pb  0.5000  0.0000  0.5000  8 Hg 3.26-3.31, 4 Sc 3.27

space group: Immm, No. 71
final energy: -41.276 eV per cell
ΔH_f (0 K): -341.6 meV per atom



3.
Here is a relaxed structure of Sc2HgPb from Alexandria via LeMat-Bulk. Energies are from PBE-GGA.

abc: 3.5302 21.4975 4.9740
angles: 90.00 90.00 90.00
With the nearest neighbours (Å) after each atom.
Fractional coordinates of all 16 atoms:
Sc  0.0000  0.0562  0.2500  6 Hg 3.00-3.05, 2 Pb 3.15
Sc  0.0000  0.1832  0.7500  5 Pb 3.00-3.05, 2 Hg 3.24
Sc  0.0000  0.8168  0.2500  5 Pb 3.00-3.05, 2 Hg 3.24
Sc  0.0000  0.9438  0.7500  6 Hg 3.00-3.05, 2 Pb 3.15
Sc  0.5000  0.3168  0.2500  5 Pb 3.00-3.05, 2 Hg 3.24
Sc  0.5000  0.4438  0.7500  6 Hg 3.00-3.05, 2 Pb 3.15
Sc  0.5000  0.5562  0.2500  6 Hg 3.00-3.05, 2 Pb 3.15
Sc  0.5000  0.6832  0.7500  5 Pb 3.00-3.05, 2 Hg 3.24
Hg  0.0000  0.4431  0.2500  8 Sc 3.00-3.24
Hg  0.0000  0.5569  0.7500  8 Sc 3.00-3.24
Hg  0.5000  0.0569  0.7500  8 Sc 3.00-3.24
Hg  0.5000  0.9431  0.2500  8 Sc 3.00-3.24
Pb  0.0000  0.3226  0.7500  7 Sc 3.00-3.15
Pb  0.0000  0.6774  0.2500  7 Sc 3.00-3.15
Pb  0.5000  0.1774  0.2500  7 Sc 3.00-3.15
Pb  0.5000  0.8226  0.7500  7 Sc 3.00-3.15

space group: Cmcm, No. 63
final energy: -72.714 eV per cell
ΔH_f (0 K): -376.3 meV per atom



4.
Here is a relaxed structure of ScHg8Pb2 from Alexandria via LeMat-Bulk. Energies are from PBE-GGA.

abc: 11.3584 11.3584 5.1898
angles: 101.16 101.16 26.31
With the nearest neighbours (Å) after each atom.
Fractional coordinates of all 11 atoms:
Sc  0.0000  0.0000  0.0000  10 Hg 2.97-3.22
Hg  0.0711  0.0711  0.5721  2 Sc 2.97-3.07, 7 Hg 3.08-3.26
Hg  0.1484  0.1484  0.1368  6 Hg 3.09-3.36, 1 Sc 3.22, 4 Pb 3.36-3.43
Hg  0.3455  0.3455  0.2700  6 Hg 3.11-3.37, 4 Pb 3.23-3.45
Hg  0.4351  0.4351  0.8143  2 Sc 3.02, 7 Hg 3.11-3.37
Hg  0.5649  0.5649  0.1857  2 Sc 3.02, 7 Hg 3.11-3.37
Hg  0.6545  0.6545  0.7300  6 Hg 3.11-3.37, 4 Pb 3.23-3.45
Hg  0.8516  0.8516  0.8632  6 Hg 3.09-3.36, 1 Sc 3.22, 4 Pb 3.36-3.43
Hg  0.9289  0.9289  0.4279  2 Sc 2.97-3.07, 7 Hg 3.08-3.26
Pb  0.2486  0.2486  0.7155  8 Hg 3.23-3.45, 2 Pb 3.43
Pb  0.7514  0.7514  0.2845  8 Hg 3.23-3.45, 2 Pb 3.43

space group: C2/m, No. 12
final energy: -16.473 eV per cell
ΔH_f (0 K): -28.2 meV per atom



5.
Here is a relaxed structure of Sc2Hg2Pb from Alexandria via LeMat-Bulk. Energies are from PBE-GGA.

abc: 4.1363 4.1363 14.9377
angles: 90.00 90.00 90.00
With the nearest neighbours (Å) after each atom.
Fractional coordinates of all 10 atoms:
Sc  0.0000  0.0000  0.0968  1 Sc 2.89, 4 Hg 3.08
Sc  0.0000  0.0000  0.9032  1 Sc 2.89, 4 Hg 3.08
Sc  0.5000  0.5000  0.4032  1 Sc 2.89, 4 Hg 3.08
Sc  0.5000  0.5000  0.5968  1 Sc 2.89, 4 Hg 3.08
Hg  0.0000  0.5000  0.2500  4 Hg 2.92, 4 Sc 3.08
Hg  0.0000  0.5000  0.7500  4 Hg 2.92, 4 Sc 3.08
Hg  0.5000  0.0000  0.2500  4 Hg 2.92, 4 Sc 3.08
Hg  0.5000  0.0000  0.7500  4 Hg 2.92, 4 Sc 3.08
Pb  0.0000  0.0000  0.5000  8 Sc 3.26
Pb  0.5000  0.5000  0.0000  8 Sc 3.26

space group: I4/mmm, No. 139
final energy: -34.466 eV per cell
ΔH_f (0 K): -51.6 meV per atom
offset from the most stable computed form: 1.15 eV per formula unit



6.
Here is a relaxed structure of ScHg2Pb from Alexandria via LeMat-Bulk. Energies are from PBE-GGA.

abc: 3.5258 3.5258 28.8871
angles: 90.00 90.00 120.00
With the nearest neighbours (Å) after each atom.
Fractional coordinates of all 12 atoms:
Sc  0.0000  0.0000  0.0000  6 Hg 2.95
Sc  0.3333  0.6667  0.6667  6 Hg 2.95
Sc  0.6667  0.3333  0.3333  6 Hg 2.95
Hg  0.0000  0.0000  0.2593  3 Sc 2.95
Hg  0.0000  0.0000  0.7407  3 Sc 2.95
Hg  0.3333  0.6667  0.4073  3 Sc 2.95
Hg  0.3333  0.6667  0.9260  3 Sc 2.95
Hg  0.6667  0.3333  0.0740  3 Sc 2.95
Hg  0.6667  0.3333  0.5927  3 Sc 2.95
Pb  0.0000  0.0000  0.5000  6 Hg 3.36, 6 Pb 3.53
Pb  0.3333  0.6667  0.1667  6 Hg 3.36, 6 Pb 3.53
Pb  0.6667  0.3333  0.8333  6 Hg 3.36, 6 Pb 3.53

space group: R-3m, No. 166
final energy: -33.558 eV per cell
ΔH_f (0 K): -135.6 meV per atom



7.
Here is a relaxed structure of ScHg2Pb from Alexandria via LeMat-Bulk. Energies are from PBE-GGA.

abc: 6.2933 7.9083 3.9490
angles: 90.00 90.00 90.00
With the nearest neighbours (Å) after each atom.
Fractional coordinates of all 8 atoms:
Sc  0.0000  0.0000  0.0000  2 Pb 3.15, 8 Hg 3.21
Sc  0.5000  0.5000  0.0000  2 Pb 3.15, 8 Hg 3.21
Hg  0.2500  0.2500  0.5000  2 Hg 3.15, 4 Pb 3.21, 4 Sc 3.21
Hg  0.2500  0.7500  0.5000  2 Hg 3.15, 4 Pb 3.21, 4 Sc 3.21
Hg  0.7500  0.2500  0.5000  2 Hg 3.15, 4 Pb 3.21, 4 Sc 3.21
Hg  0.7500  0.7500  0.5000  2 Hg 3.15, 4 Pb 3.21, 4 Sc 3.21
Pb  0.0000  0.5000  0.0000  2 Sc 3.15, 8 Hg 3.21
Pb  0.5000  0.0000  0.0000  2 Sc 3.15, 8 Hg 3.21

space group: Cmmm, No. 65
final energy: -22.574 eV per cell
ΔH_f (0 K): -160.9 meV per atom



8.
Here is a relaxed structure of ScSnHgPb from Alexandria via LeMat-Bulk. Energies are from PBE-GGA.

abc: 7.4817 7.4817 7.4817
angles: 90.00 90.00 90.00
With the nearest neighbours (Å) after each atom.
Fractional coordinates of all 16 atoms:
Sc  0.0000  0.0000  0.0000  4 Hg 3.24, 4 Sn 3.24
Sc  0.0000  0.5000  0.5000  4 Hg 3.24, 4 Sn 3.24
Sc  0.5000  0.0000  0.5000  4 Hg 3.24, 4 Sn 3.24
Sc  0.5000  0.5000  0.0000  4 Hg 3.24, 4 Sn 3.24
Sn  0.2500  0.2500  0.2500  4 Pb 3.24, 4 Sc 3.24
Sn  0.2500  0.7500  0.7500  4 Pb 3.24, 4 Sc 3.24
Sn  0.7500  0.2500  0.7500  4 Pb 3.24, 4 Sc 3.24
Sn  0.7500  0.7500  0.2500  4 Pb 3.24, 4 Sc 3.24
Hg  0.2500  0.2500  0.7500  4 Pb 3.24, 4 Sc 3.24
Hg  0.2500  0.7500  0.2500  4 Pb 3.24, 4 Sc 3.24
Hg  0.7500  0.2500  0.2500  4 Pb 3.24, 4 Sc 3.24
Hg  0.7500  0.7500  0.7500  4 Sc 3.24, 4 Pb 3.24
Pb  0.0000  0.0000  0.5000  4 Sn 3.24, 4 Hg 3.24
Pb  0.0000  0.5000  0.0000  4 Sn 3.24, 4 Hg 3.24
Pb  0.5000  0.0000  0.0000  4 Sn 3.24, 4 Hg 3.24
Pb  0.5000  0.5000  0.5000  4 Hg 3.24, 4 Sn 3.24

space group: F-43m, No. 216
final energy: -58.876 eV per cell
ΔH_f (0 K): -93.6 meV per atom



9.
Here is a relaxed structure of ThScHgPb from Alexandria via LeMat-Bulk. Energies are from PBE-GGA.

abc: 7.5258 7.5258 7.5258
angles: 90.00 90.00 90.00
With the nearest neighbours (Å) after each atom.
Fractional coordinates of all 16 atoms:
Th  0.0000  0.0000  0.0000  4 Hg 3.26, 4 Pb 3.26
Th  0.0000  0.5000  0.5000  4 Hg 3.26, 4 Pb 3.26
Th  0.5000  0.0000  0.5000  4 Hg 3.26, 4 Pb 3.26
Th  0.5000  0.5000  0.0000  4 Hg 3.26, 4 Pb 3.26
Sc  0.0000  0.0000  0.5000  4 Hg 3.26, 4 Pb 3.26
Sc  0.0000  0.5000  0.0000  4 Hg 3.26, 4 Pb 3.26
Sc  0.5000  0.0000  0.0000  4 Hg 3.26, 4 Pb 3.26
Sc  0.5000  0.5000  0.5000  4 Hg 3.26, 4 Pb 3.26
Hg  0.2500  0.2500  0.7500  4 Th 3.26, 4 Sc 3.26
Hg  0.2500  0.7500  0.2500  4 Th 3.26, 4 Sc 3.26
Hg  0.7500  0.2500  0.2500  4 Th 3.26, 4 Sc 3.26
Hg  0.7500  0.7500  0.7500  4 Th 3.26, 4 Sc 3.26
Pb  0.2500  0.2500  0.2500  4 Sc 3.26, 4 Th 3.26
Pb  0.2500  0.7500  0.7500  4 Sc 3.26, 4 Th 3.26
Pb  0.7500  0.2500  0.7500  4 Sc 3.26, 4 Th 3.26
Pb  0.7500  0.7500  0.2500  4 Sc 3.26, 4 Th 3.26

space group: F-43m, No. 216
final energy: -74.999 eV per cell
ΔH_f (0 K): -247.0 meV per atom



10.
Here is a relaxed structure of ScTi2HgPb from Alexandria via LeMat-Bulk. Energies are from PBE-GGA.

abc: 5.1965 5.1965 5.4181
angles: 90.00 90.00 90.00
With the nearest neighbours (Å) after each atom.
Fractional coordinates of all 5 atoms:
Sc  0.0000  0.0000  0.0000  4 Hg 3.67, 8 Ti 3.75
Ti  0.0000  0.5000  0.5000  2 Pb 2.60
Ti  0.5000  0.0000  0.5000  2 Pb 2.60
Hg  0.5000  0.5000  0.0000  2 Pb 2.71
Pb  0.5000  0.5000  0.5000  4 Ti 2.60, 2 Hg 2.71

space group: P4/mmm, No. 123
final energy: -20.889 eV per cell
ΔH_f (0 K): 1048.4 meV per atom



11.
Here is a relaxed structure of ScTlHgPb from Alexandria via LeMat-Bulk. Energies are from PBE-GGA.

abc: 7.5096 7.5096 7.5096
angles: 90.00 90.00 90.00
With the nearest neighbours (Å) after each atom.
Fractional coordinates of all 16 atoms:
Sc  0.0000  0.0000  0.0000  4 Hg 3.25, 4 Tl 3.25
Sc  0.0000  0.5000  0.5000  4 Hg 3.25, 4 Tl 3.25
Sc  0.5000  0.0000  0.5000  4 Hg 3.25, 4 Tl 3.25
Sc  0.5000  0.5000  0.0000  4 Hg 3.25, 4 Tl 3.25
Tl  0.2500  0.2500  0.7500  4 Sc 3.25, 4 Pb 3.25
Tl  0.2500  0.7500  0.2500  4 Sc 3.25, 4 Pb 3.25
Tl  0.7500  0.2500  0.2500  4 Sc 3.25, 4 Pb 3.25
Tl  0.7500  0.7500  0.7500  4 Sc 3.25, 4 Pb 3.25
Hg  0.2500  0.2500  0.2500  4 Pb 3.25, 4 Sc 3.25
Hg  0.2500  0.7500  0.7500  4 Pb 3.25, 4 Sc 3.25
Hg  0.7500  0.2500  0.7500  4 Pb 3.25, 4 Sc 3.25
Hg  0.7500  0.7500  0.2500  4 Pb 3.25, 4 Sc 3.25
Pb  0.0000  0.0000  0.5000  4 Hg 3.25, 4 Tl 3.25
Pb  0.0000  0.5000  0.0000  4 Hg 3.25, 4 Tl 3.25
Pb  0.5000  0.0000  0.0000  4 Hg 3.25, 4 Tl 3.25
Pb  0.5000  0.5000  0.5000  4 Hg 3.25, 4 Tl 3.25

space group: F-43m, No. 216
final energy: -51.058 eV per cell
ΔH_f (0 K): -14.2 meV per atom



12.
Here is a relaxed structure of TmScHgPb from Alexandria via LeMat-Bulk. Energies are from PBE-GGA.

abc: 7.3279 7.3279 7.3279
angles: 90.00 90.00 90.00
With the nearest neighbours (Å) after each atom.
Fractional coordinates of all 16 atoms:
Tm  0.0000  0.0000  0.0000  4 Hg 3.17, 4 Pb 3.17
Tm  0.0000  0.5000  0.5000  4 Hg 3.17, 4 Pb 3.17
Tm  0.5000  0.0000  0.5000  4 Hg 3.17, 4 Pb 3.17
Tm  0.5000  0.5000  0.0000  4 Hg 3.17, 4 Pb 3.17
Sc  0.0000  0.0000  0.5000  4 Hg 3.17, 4 Pb 3.17
Sc  0.0000  0.5000  0.0000  4 Hg 3.17, 4 Pb 3.17
Sc  0.5000  0.0000  0.0000  4 Hg 3.17, 4 Pb 3.17
Sc  0.5000  0.5000  0.5000  4 Hg 3.17, 4 Pb 3.17
Hg  0.2500  0.2500  0.7500  4 Tm 3.17, 4 Sc 3.17
Hg  0.2500  0.7500  0.2500  4 Tm 3.17, 4 Sc 3.17
Hg  0.7500  0.2500  0.2500  4 Tm 3.17, 4 Sc 3.17
Hg  0.7500  0.7500  0.7500  4 Tm 3.17, 4 Sc 3.17
Pb  0.2500  0.2500  0.2500  4 Tm 3.17, 4 Sc 3.17
Pb  0.2500  0.7500  0.7500  4 Tm 3.17, 4 Sc 3.17
Pb  0.7500  0.2500  0.7500  4 Tm 3.17, 4 Sc 3.17
Pb  0.7500  0.7500  0.2500  4 Tm 3.17, 4 Sc 3.17

space group: F-43m, No. 216
final energy: -65.259 eV per cell
ΔH_f (0 K): -375.4 meV per atom
offset from the most stable computed form: 0.02 eV per formula unit



13.
Here is a relaxed structure of TmScHgPb from Alexandria via LeMat-Bulk. Energies are from PBE-GGA.

abc: 4.1452 4.8438 4.8995
angles: 90.00 90.00 90.00
With the nearest neighbours (Å) after each atom.
Fractional coordinates of all 4 atoms:
Tm  0.0000  0.0000  0.0000  4 Hg 3.19, 4 Pb 3.21, 4 Sc 3.44
Sc  0.0000  0.5000  0.5000  4 Pb 3.19, 4 Hg 3.21, 4 Tm 3.44
Hg  0.5000  0.5000  0.0000  4 Tm 3.19, 4 Sc 3.21, 4 Pb 3.44
Pb  0.5000  0.0000  0.5000  4 Sc 3.19, 4 Tm 3.21, 4 Hg 3.44

space group: Pmmm, No. 47
final energy: -16.338 eV per cell
ΔH_f (0 K): -381.1 meV per atom
offset from the most stable computed form: 0.00 eV per formula unit